La4CdSn3 | the Alexandria database | PBE-GGA | relaxed; DFT total energy = -4.728 eV per atom; magnetization = 0.00 μB/atom; symmetry = P4/mmm, No. 123; N(E_F) = 6.7 states/eV/f.u.
1.0
5.1560 0.0000 0.0000
0.0000 9.0645 0.0000
0.0000 0.0000 10.3151
Cd Sn La
2 6 8
direct
0.0000 0.5000 0.0000
0.0000 0.5000 0.5000
0.0000 0.0000 0.0000
0.0000 0.0000 0.5000
0.4994 0.0000 0.7500
0.5006 0.0000 0.2500
0.4995 0.5000 0.7500
0.5005 0.5000 0.2500
0.5000 0.7506 0.0000
0.5000 0.7506 0.5000
0.5000 0.2494 0.0000
0.5000 0.2494 0.5000
0.9996 0.7506 0.7500
0.0004 0.7506 0.2500
0.0004 0.2494 0.2500
0.9996 0.2494 0.7500